--- i ---
Here is crystalline YOsF2 at its relaxed geometry from Alexandria. Energies are from PBE.

Cell and atoms, written as POSCAR:
```
YOsF2
1.0
1.877 1.084 5.678
-1.877 1.084 5.678
0.000 -2.168 5.678
Y Os F
1 1 2
direct
0.000 0.000 0.000
0.500 0.500 0.500
0.295 0.295 0.295
0.705 0.705 0.705
```

Output
- Size of the total moment: 0.642 μB per atom

=====

--- ii ---
Here is crystalline YOsF2 at its relaxed geometry from Alexandria. Energies are from PBE.

Cell and atoms, written as POSCAR:
```
YOsF2
1.0
1.472 0.850 7.665
-1.472 0.850 7.665
0.000 -1.700 7.665
Y Os F
1 1 2
direct
0.000 0.000 0.000
0.500 0.500 0.500
0.407 0.407 0.407
0.593 0.593 0.593
```

Output
- Size of the total moment: 0.216 μB per atom

=====

--- iii ---
Here is crystalline YOsF2 at its relaxed geometry from Alexandria. Energies are from PBE.

Cell and atoms, written as POSCAR:
```
YOsF2
1.0
0.000 3.150 3.150
3.150 0.000 3.150
3.150 3.150 0.000
Y Os F
1 1 2
direct
0.000 0.000 0.000
0.500 0.500 0.500
0.250 0.250 0.250
0.750 0.750 0.750
```

Output
- Size of the total moment: 0.750 μB per atom

=====

--- iv ---
Here is crystalline YOsF2 at its relaxed geometry from Alexandria. Energies are from PBE.

Cell and atoms, written as POSCAR:
```
YOsF2
1.0
-2.139 2.139 7.667
2.139 -2.139 7.667
2.139 2.139 -7.667
Y Os F
2 2 4
direct
0.000 0.000 0.000
0.750 0.250 0.500
0.250 0.750 0.500
0.500 0.500 0.000
0.054 0.625 0.929
0.375 0.304 0.429
0.696 0.125 0.071
0.875 0.946 0.571
```

Output
- Size of the total moment: 0.750 μB per atom

=====

Energies relative to the minimum, kJ/mol of atoms: i 0.0; ii 8.4; iii 40.4; iv 12.5

=====

--- i ---
Here is crystalline YOs3F at its relaxed geometry from Alexandria. Energies are from PBE.

Cell and atoms, written as POSCAR:
```
YOs3F
1.0
5.076 0.000 0.000
0.000 5.076 0.000
0.000 0.000 5.076
Y Os F
1 3 1
direct
0.000 0.000 0.000
0.000 0.000 0.500
0.000 0.500 0.000
0.500 0.000 0.000
0.500 0.500 0.500
```

Output
- Size of the total moment: 1.304 μB per atom

=====

--- ii ---
Here is crystalline YOs3F at its relaxed geometry from Alexandria. Energies are from PBE.

Cell and atoms, written as POSCAR:
```
YOs3F
1.0
4.347 0.000 0.000
0.000 4.347 0.000
0.000 0.000 4.347
Y Os F
1 3 1
direct
0.000 0.000 0.000
0.000 0.500 0.500
0.500 0.000 0.500
0.500 0.500 0.000
0.500 0.500 0.500
```

Output
- Size of the total moment: 0.000 μB per atom

=====

Energies relative to the minimum, kJ/mol of atoms: i 191.8; ii 0.0